No. 1
Entry from Alexandria via LeMat-Bulk: Sm2YS4 after structural relaxation (GGA-PBE).

a b c (Å): 7.9556 7.9225 7.9225
angles (deg): 60.89 59.86 59.86
Closest atoms and distances in Å follow each position.
Fractional coordinates of all 14 atoms:
S 0.7588 0.7476 0.2476  1 Y 2.75, 3 Sm 2.79-2.80
S 0.2532 0.2515 0.2420  2 Y 2.80, 3 Sm 2.81-2.85
Y 0.0000 0.5000 0.0000  6 S 2.75-2.80
S 0.7468 0.7485 0.7580  2 Y 2.80, 3 Sm 2.81-2.85
S 0.7539 0.2524 0.7524  1 Y 2.75, 3 Sm 2.79-2.80
Sm 0.0000 0.0000 0.5000  6 S 2.80-2.85
S 0.2461 0.7476 0.2476  1 Y 2.75, 3 Sm 2.79-2.80
Sm 0.5000 0.0000 0.5000  6 S 2.80-2.85
Y 0.5000 0.5000 0.0000  6 S 2.75-2.80
Sm 0.0000 0.0000 0.0000  6 S 2.79-2.81
S 0.2532 0.7420 0.7515  2 Y 2.80, 3 Sm 2.81-2.85
Sm 0.0000 0.5000 0.5000  6 S 2.79-2.81
S 0.7468 0.2580 0.2485  2 Y 2.80, 3 Sm 2.81-2.85
S 0.2412 0.2524 0.7524  1 Y 2.75, 3 Sm 2.79-2.80

## Properties
The calculation puts the formation energy (no corrections) at -2.04 eV per atom. As for the relative energy among the computed polymorphs: 0.000 eV per atom. The value obtained for the density of states at the Fermi level is 3.855 states/eV/cell. The calculated volume is 354.6 Å³/cell. The raw total energy comes out at -93.414 eV/cell. The total magnetization comes out at 0.00 μB/cell.

No. 2
Entry from Alexandria via LeMat-Bulk: NaAc2Ag16 after structural relaxation (GGA-PBE).

a b c (Å): 7.4375 7.4375 7.4375
angles (deg): 82.23 82.23 82.23
Closest atoms and distances in Å follow each position.
Fractional coordinates of all 19 atoms:
Ag 0.6512 0.1582 0.6512  8 Ag 2.82-3.02, 1 Na 3.14
Ag 0.6986 0.0002 0.3026  8 Ag 2.84-3.02
Ag 0.8426 0.3462 0.3462  9 Ag 2.82-3.04
Ag 0.1053 0.1053 0.1053  1 Na 2.84, 6 Ag 2.94-3.04
Ac 0.6482 0.6482 0.6482  15 Ag 3.43-3.80, 1 Na 3.79
Ag 0.3462 0.3462 0.8426  9 Ag 2.82-3.04
Ag 0.0002 0.6986 0.3026  8 Ag 2.84-3.02
Ac 0.3386 0.3386 0.3386  19 Ag 3.39-3.76
Na 0.9094 0.9094 0.9094  7 Ag 2.84-3.14
Ag 0.0012 0.0012 0.4978  9 Ag 2.83-2.94, 1 Na 3.05
Ag 0.3026 0.0002 0.6986  8 Ag 2.84-3.02
Ag 0.6512 0.6512 0.1582  8 Ag 2.82-3.02, 1 Na 3.14
Ag 0.6986 0.3026 0.0002  8 Ag 2.84-3.02
Ag 0.3462 0.8426 0.3462  9 Ag 2.82-3.04
Ag 0.0002 0.3026 0.6986  8 Ag 2.84-3.02
Ag 0.1582 0.6512 0.6512  8 Ag 2.82-3.02, 1 Na 3.14
Ag 0.0012 0.4978 0.0012  9 Ag 2.83-2.94, 1 Na 3.05
Ag 0.3026 0.6986 0.0002  8 Ag 2.84-3.02
Ag 0.4978 0.0012 0.0012  9 Ag 2.83-2.94, 1 Na 3.05

## Properties
The value obtained for the density of states at the Fermi level is 7.977 states/eV/cell. The calculated volume is 401.0 Å³/cell. The raw total energy comes out at -57.292 eV/cell. The total magnetization comes out at 0.00 μB/cell. The formation energy is -112 meV/atom.